# PBE Nd6HN5, relaxed
# Raw total energy ... -0.271 hartree per atom
# Calculated volume ... 17.3 Å³/atom
data_Nd6HN5
_chemical_formula_sum 'Nd6 H1 N5'
_cell_length_a 6.333
_cell_length_b 6.333
_cell_length_c 6.332
_cell_angle_alpha 99.72
_cell_angle_beta 99.72
_cell_angle_gamma 119.93
_symmetry_space_group_name_H-M 'P 1'
_symmetry_Int_Tables_number 1
loop_
_symmetry_equiv_pos_as_xyz
'x,y,z'
loop_
_atom_site_label
_atom_site_fract_x
_atom_site_fract_y
_atom_site_fract_z
N1 0.170 0.830 0.500
N2 0.500 0.500 0.500
N3 0.830 0.170 0.500
N4 0.334 0.666 0.000
N5 0.666 0.334 0.000
Nd1 0.264 0.264 0.736
Nd2 0.915 0.565 0.745
Nd3 0.435 0.085 0.255
Nd4 0.736 0.736 0.264
Nd5 0.565 0.915 0.745
Nd6 0.085 0.435 0.255
H1 0.000 0.000 0.000

***

# PBE NaTb3Nd2Te6, relaxed
# Raw total energy ... -0.184 hartree per atom
# Raw formation energy ... -1363 meV/atom
# Calculated volume ... 31.0 Å³/atom
data_NaTb3Nd2Te6
_chemical_formula_sum 'Na1 Tb3 Nd2 Te6'
_cell_length_a 4.410
_cell_length_b 8.943
_cell_length_c 9.962
_cell_angle_alpha 103.41
_cell_angle_beta 102.79
_cell_angle_gamma 90.00
_symmetry_space_group_name_H-M 'P 1'
_symmetry_Int_Tables_number 1
loop_
_symmetry_equiv_pos_as_xyz
'x,y,z'
loop_
_atom_site_label
_atom_site_fract_x
_atom_site_fract_y
_atom_site_fract_z
Tb1 0.500 0.500 0.000
Tb2 0.833 0.172 0.667
Tb3 0.167 0.828 0.333
Na1 0.500 0.000 0.000
Te1 0.332 0.923 0.665
Te2 0.668 0.077 0.335
Te3 0.999 0.253 0.999
Te4 0.338 0.410 0.675
Te5 0.662 0.590 0.325
Te6 0.001 0.747 0.001
Nd1 0.171 0.344 0.342
Nd2 0.829 0.656 0.658

***

# PBE NaGeBrF2, relaxed
# Raw total energy ... -0.153 hartree per atom
# Raw formation energy ... -1892 meV/atom
# Calculated volume ... 19.8 Å³/atom
data_NaGeBrF2
_chemical_formula_sum 'Na2 Ge2 Br2 F4'
_cell_length_a 3.964
_cell_length_b 6.648
_cell_length_c 7.730
_cell_angle_alpha 103.24
_cell_angle_beta 90.00
_cell_angle_gamma 90.00
_symmetry_space_group_name_H-M 'P 1'
_symmetry_Int_Tables_number 1
loop_
_symmetry_equiv_pos_as_xyz
'x,y,z'
loop_
_atom_site_label
_atom_site_fract_x
_atom_site_fract_y
_atom_site_fract_z
Br1 0.250 0.071 0.784
Br2 0.750 0.929 0.216
Na1 0.250 0.691 0.921
Na2 0.750 0.309 0.079
F1 0.750 0.529 0.395
F2 0.250 0.495 0.154
F3 0.250 0.471 0.605
F4 0.750 0.505 0.846
Ge1 0.750 0.316 0.615
Ge2 0.250 0.684 0.385

***

# PBE MgRe2Os, relaxed
# Raw total energy ... -0.337 hartree per atom
# Calculated volume ... 15.1 Å³/atom
# Formation energy ... 256 meV per atom
data_MgRe2Os
_chemical_formula_sum 'Mg1 Re2 Os1'
_cell_length_a 4.376
_cell_length_b 2.753
_cell_length_c 5.061
_cell_angle_alpha 82.02
_cell_angle_beta 90.00
_cell_angle_gamma 90.00
_symmetry_space_group_name_H-M 'P 1'
_symmetry_Int_Tables_number 1
loop_
_symmetry_equiv_pos_as_xyz
'x,y,z'
loop_
_atom_site_label
_atom_site_fract_x
_atom_site_fract_y
_atom_site_fract_z
Os1 0.500 0.721 0.757
Re1 0.500 0.176 0.261
Re2 0.000 0.069 0.992
Mg1 0.000 0.534 0.490

***

# PBE LaZrSe2, relaxed
# Raw total energy ... -0.243 hartree per atom
# Raw formation energy ... -1513 meV/atom
# Calculated volume ... 24.1 Å³/atom
data_LaZrSe2
_chemical_formula_sum 'La1 Zr1 Se2'
_cell_length_a 4.113
_cell_length_b 4.113
_cell_length_c 7.001
_cell_angle_alpha 72.89
_cell_angle_beta 72.89
_cell_angle_gamma 60.03
_symmetry_space_group_name_H-M 'P 1'
_symmetry_Int_Tables_number 1
loop_
_symmetry_equiv_pos_as_xyz
'x,y,z'
loop_
_atom_site_label
_atom_site_fract_x
_atom_site_fract_y
_atom_site_fract_z
Se1 0.491 0.491 0.528
Se2 0.009 0.009 0.972
La1 0.250 0.250 0.250
Zr1 0.750 0.750 0.750

***

# PBE HfMg2MnH, relaxed
# Raw total energy ... -0.169 hartree per atom
# Calculated volume ... 18.1 Å³/atom
data_HfMg2MnH
_chemical_formula_sum 'Hf1 Mg2 Mn1 H1'
_cell_length_a 5.355
_cell_length_b 3.151
_cell_length_c 5.355
_cell_angle_alpha 90.00
_cell_angle_beta 90.00
_cell_angle_gamma 90.00
_symmetry_space_group_name_H-M 'P 1'
_symmetry_Int_Tables_number 1
loop_
_symmetry_equiv_pos_as_xyz
'x,y,z'
loop_
_atom_site_label
_atom_site_fract_x
_atom_site_fract_y
_atom_site_fract_z
H1 0.000 0.500 0.000
Mg1 0.500 0.000 0.000
Mg2 0.000 0.000 0.500
Hf1 0.500 0.500 0.500
Mn1 0.000 0.000 0.000

***

Repeat the fourth record exactly.
# PBE MgRe2Os, relaxed
# Raw total energy ... -0.337 hartree per atom
# Calculated volume ... 15.1 Å³/atom
# Formation energy ... 256 meV per atom
data_MgRe2Os
_chemical_formula_sum 'Mg1 Re2 Os1'
_cell_length_a 4.376
_cell_length_b 2.753
_cell_length_c 5.061
_cell_angle_alpha 82.02
_cell_angle_beta 90.00
_cell_angle_gamma 90.00
_symmetry_space_group_name_H-M 'P 1'
_symmetry_Int_Tables_number 1
loop_
_symmetry_equiv_pos_as_xyz
'x,y,z'
loop_
_atom_site_label
_atom_site_fract_x
_atom_site_fract_y
_atom_site_fract_z
Os1 0.500 0.721 0.757
Re1 0.500 0.176 0.261
Re2 0.000 0.069 0.992
Mg1 0.000 0.534 0.490